(1)
DyTmO3 | PBE-GGA | relaxed

```
data_DyTmO3
_symmetry_space_group_name_H-M 'P 1'
_symmetry_Int_Tables_number 1
_cell_length_a 5.895
_cell_length_b 8.355
_cell_length_c 5.630
_cell_angle_alpha 90.00
_cell_angle_beta 90.00
_cell_angle_gamma 90.00
loop_
_symmetry_equiv_pos_as_xyz
'x,y,z'
loop_
_atom_site_label
_atom_site_type_symbol
_atom_site_fract_x
_atom_site_fract_y
_atom_site_fract_z
Dy1 Dy 0.054 0.250 0.020
Dy2 Dy 0.446 0.750 0.520
Dy3 Dy 0.554 0.250 0.480
Dy4 Dy 0.946 0.750 0.980
Tm1 Tm 0.000 0.000 0.500
Tm2 Tm 0.000 0.500 0.500
Tm3 Tm 0.500 0.000 0.000
Tm4 Tm 0.500 0.500 0.000
O1 O 0.077 0.750 0.352
O2 O 0.190 0.579 0.814
O3 O 0.190 0.921 0.814
O4 O 0.310 0.079 0.314
O5 O 0.310 0.421 0.314
O6 O 0.423 0.250 0.852
O7 O 0.577 0.750 0.148
O8 O 0.690 0.579 0.686
O9 O 0.690 0.921 0.686
O10 O 0.810 0.079 0.186
O11 O 0.810 0.421 0.186
O12 O 0.923 0.250 0.648
```

Properties
- Total magnetic moment: 0.00 μB/f.u.
- Space group: No. 62
- Formation energy (no corrections): -3546 meV/atom

---

(2)
DyTmO4 | PBE-GGA | relaxed

```
data_DyTmO4
_symmetry_space_group_name_H-M 'P 1'
_symmetry_Int_Tables_number 1
_cell_length_a 6.799
_cell_length_b 3.696
_cell_length_c 6.159
_cell_angle_alpha 90.00
_cell_angle_beta 96.03
_cell_angle_gamma 90.00
loop_
_symmetry_equiv_pos_as_xyz
'x,y,z'
loop_
_atom_site_label
_atom_site_type_symbol
_atom_site_fract_x
_atom_site_fract_y
_atom_site_fract_z
Dy1 Dy 0.000 0.000 0.000
Dy2 Dy 0.500 0.500 0.000
Tm1 Tm 0.364 0.000 0.457
Tm2 Tm 0.864 0.500 0.457
O1 O 0.036 0.000 0.377
O2 O 0.088 0.500 0.777
O3 O 0.276 0.500 0.671
O4 O 0.330 0.000 0.087
O5 O 0.536 0.500 0.377
O6 O 0.588 0.000 0.777
O7 O 0.776 0.000 0.671
O8 O 0.830 0.500 0.087
```

Properties
- Total magnetic moment: 0.00 μB/f.u.
- Space group: No. 8
- Formation energy (no corrections): -3010 meV/atom

---

Number 1: total DFT energy (no corrections) -8.34 eV/atom. Number 2: total DFT energy (no corrections) -7.83 eV/atom.